1.
# CoAgSb6 | the Alexandria database | PBE-GGA | optimized geometry
# Electronic total energy in eV/atom: -4.345
data_CoAgSb6
_symmetry_space_group_name_H-M 'C 1 2/m 1'
_symmetry_Int_Tables_number 12
_cell_length_a 13.310
_cell_length_b 9.359
_cell_length_c 9.533
_cell_angle_alpha 90.00
_cell_angle_beta 133.98
_cell_angle_gamma 90.00
loop_
_symmetry_equiv_pos_as_xyz
'x,y,z'
'-x,-y,-z'
'-x,y,-z'
'x,-y,z'
'x+1/2,y+1/2,z'
'-x+1/2,-y+1/2,-z'
'-x+1/2,y+1/2,-z'
'x+1/2,-y+1/2,z'
loop_
_atom_site_label
_atom_site_fract_x
_atom_site_fract_y
_atom_site_fract_z
Co1 0.250 0.250 0.000
Ag1 0.250 0.250 0.500
Sb1 0.016 0.158 0.861
Sb2 0.135 0.500 0.286
Sb3 0.154 0.342 0.673
Sb4 0.175 0.500 0.017

***

2.
# CoAgSb2 | the Alexandria database | PBE-GGA | optimized geometry
# Energy above the lowest structure with this stoichiometry in eV per atom: 0.243
data_CoAgSb2
_symmetry_space_group_name_H-M 'F m -3 m'
_symmetry_Int_Tables_number 225
_symmetry_space_group_name_Hall '-F 4 2 3'
_cell_length_a 6.793
_cell_length_b 6.793
_cell_length_c 6.793
_cell_angle_alpha 90.00
_cell_angle_beta 90.00
_cell_angle_gamma 90.00
loop_
_atom_site_label
_atom_site_fract_x
_atom_site_fract_y
_atom_site_fract_z
Co1 0.000 0.000 0.000
Ag1 0.000 0.000 0.500
Sb1 0.250 0.250 0.250

***

3.
# CoAgSb2 | the Alexandria database | PBE-GGA | optimized geometry
# Energy above the lowest structure with this stoichiometry in eV per atom: 0.303
data_CoAgSb2
_symmetry_space_group_name_H-M 'I -4 m 2'
_symmetry_Int_Tables_number 119
_symmetry_space_group_name_Hall 'I -4 -2'
_cell_length_a 4.074
_cell_length_b 4.074
_cell_length_c 9.688
_cell_angle_alpha 90.00
_cell_angle_beta 90.00
_cell_angle_gamma 90.00
loop_
_atom_site_label
_atom_site_fract_x
_atom_site_fract_y
_atom_site_fract_z
Co1 0.000 0.000 0.000
Ag1 0.000 0.500 0.250
Sb1 0.000 0.000 0.500
Sb2 0.000 0.500 0.750

***

4.
# CoAgSb3 | the Alexandria database | PBE-GGA | optimized geometry
# Energy above the lowest structure with this stoichiometry in eV per atom: 0.000
data_CoAgSb3
_symmetry_space_group_name_H-M 'P m -3 m'
_symmetry_Int_Tables_number 221
_symmetry_space_group_name_Hall '-P 4 2 3'
_cell_length_a 4.960
_cell_length_b 4.960
_cell_length_c 4.960
_cell_angle_alpha 90.00
_cell_angle_beta 90.00
_cell_angle_gamma 90.00
loop_
_atom_site_label
_atom_site_fract_x
_atom_site_fract_y
_atom_site_fract_z
Co1 0.000 0.000 0.000
Ag1 0.500 0.500 0.500
Sb1 0.000 0.000 0.500

***

5.
# CoAgSb2 | the Alexandria database | PBE-GGA | optimized geometry
# Energy above the lowest structure with this stoichiometry in eV per atom: 0.199
data_CoAgSb2
_symmetry_space_group_name_H-M 'I -4 2 d'
_symmetry_Int_Tables_number 122
_symmetry_space_group_name_Hall 'I -4 2bw'
_cell_length_a 4.823
_cell_length_b 4.823
_cell_length_c 15.868
_cell_angle_alpha 90.00
_cell_angle_beta 90.00
_cell_angle_gamma 90.00
loop_
_atom_site_label
_atom_site_fract_x
_atom_site_fract_y
_atom_site_fract_z
Co1 0.000 0.000 0.000
Ag1 0.000 0.000 0.500
Sb1 0.203 0.250 0.125

***

6.
# CoAgSb2 | the Alexandria database | PBE-GGA | optimized geometry
# Energy above the lowest structure with this stoichiometry in eV per atom: 0.024
data_CoAgSb2
_symmetry_space_group_name_H-M 'P 1 m 1'
_symmetry_Int_Tables_number 6
_cell_length_a 3.998
_cell_length_b 3.159
_cell_length_c 6.803
_cell_angle_alpha 90.00
_cell_angle_beta 106.94
_cell_angle_gamma 90.00
loop_
_symmetry_equiv_pos_as_xyz
'x,y,z'
'x,-y,z'
loop_
_atom_site_label
_atom_site_fract_x
_atom_site_fract_y
_atom_site_fract_z
Co1 0.000 0.000 0.000
Ag1 0.189 0.500 0.376
Sb1 0.518 0.500 0.037
Sb2 0.808 0.000 0.615

***

Fermi-level density of states for every record listed, in sequence, given in states/eV/f.u.: 3.8 2.0 4.1 5.9 3.1 2.9.